1.
Material: Be2Co
Method: DFT, GGA-PBE
State: relaxed

The calculation puts the total moment at 0.00 μB/f.u. For the calculated formation energy, the calculation gives -257 meV/atom.

a = 10.0263 Å, b = 10.0263 Å, c = 10.0263 Å
α = 161.36°, β = 161.36°, γ = 26.47°
Element x y z (fractional)
Be: 0.1243 0.3743 0.7500
Be: 0.2876 0.5376 0.7500
Be: 0.3743 0.1243 0.2500
Be: 0.4624 0.7124 0.7500
Be: 0.5376 0.2876 0.2500
Be: 0.6257 0.8757 0.7500
Be: 0.7124 0.4624 0.2500
Be: 0.8757 0.6257 0.2500
Co: 0.0519 0.8019 0.2500
Co: 0.1981 0.9481 0.2500
Co: 0.8019 0.0519 0.7500
Co: 0.9481 0.1981 0.7500



2.
Material: Pm2DySc7
Method: DFT, GGA-PBE
State: relaxed

The calculation puts the total moment at 0.01 μB/f.u. For the calculated formation energy, the calculation gives 158 meV/atom.

a = 14.0229 Å, b = 14.0229 Å, c = 3.3192 Å
α = 90.00°, β = 90.00°, γ = 154.88°
Element x y z (fractional)
Pm: 0.2094 0.7906 0.0000
Pm: 0.7906 0.2094 0.0000
Dy: 0.5000 0.5000 0.5000
Sc: 0.0000 0.0000 0.0000
Sc: 0.1566 0.3516 0.0000
Sc: 0.3196 0.6804 0.5000
Sc: 0.3516 0.1566 0.0000
Sc: 0.6484 0.8434 0.0000
Sc: 0.6804 0.3196 0.5000
Sc: 0.8434 0.6484 0.0000



3.
Material: LaNiB2Te
Method: DFT, GGA-PBE
State: relaxed

The calculation puts the total moment at 0.00 μB/f.u. The uncorrected formation energy is 1.691 eV/f.u.

a = 4.2203 Å, b = 4.2203 Å, c = 5.3955 Å
α = 90.00°, β = 90.00°, γ = 90.00°
Element x y z (fractional)
La: 0.0000 0.0000 0.0000
Ni: 0.0000 0.0000 0.5000
B: 0.0000 0.5000 0.5000
B: 0.5000 0.0000 0.5000
Te: 0.5000 0.5000 0.0000



4.
Material: Li2AlCoSn
Method: DFT, GGA-PBE
State: relaxed

The calculation puts the total moment at 0.66 μB/f.u. For the calculated formation energy, the calculation gives 401 meV/atom.

a = 4.6059 Å, b = 4.6059 Å, c = 4.3848 Å
α = 90.00°, β = 90.00°, γ = 90.00°
Element x y z (fractional)
Li: 0.0000 0.5000 0.0000
Li: 0.5000 0.0000 0.0000
Al: 0.0000 0.0000 0.0000
Co: 0.0000 0.0000 0.5000
Sn: 0.5000 0.5000 0.5000



5.
Material: Tb5Pr3Nd4
Method: DFT, GGA-PBE
State: relaxed

The calculation puts the total moment at 0.00 μB/f.u. For the calculated formation energy, the calculation gives 14 meV/atom. For the polymorph energy (0 for the lowest one), the calculation gives 0.0 kJ/mol of formula units.

a = 6.3031 Å, b = 7.2753 Å, c = 8.9190 Å
α = 90.03°, β = 90.08°, γ = 90.10°
Element x y z (fractional)
Tb: 0.0000 0.0000 0.0000
Tb: 0.3349 0.4995 0.3312
Tb: 0.4995 0.7495 0.9998
Tb: 0.5005 0.2505 0.0002
Tb: 0.6651 0.5005 0.6688
Pr: 0.0000 0.5000 0.0000
Pr: 0.1680 0.2510 0.6678
Pr: 0.8320 0.7490 0.3322
Nd: 0.1685 0.7495 0.6680
Nd: 0.3322 0.0000 0.3304
Nd: 0.6678 0.0000 0.6696
Nd: 0.8315 0.2505 0.3320



6.
Material: Sc2Pd2Br
Method: DFT, GGA-PBE
State: relaxed

The calculation puts the total moment at 0.00 μB/f.u. The uncorrected formation energy is -3.582 eV/f.u. For the polymorph energy (0 for the lowest one), the calculation gives 27.9 kJ/mol of formula units.

a = 7.7570 Å, b = 7.7570 Å, c = 3.3072 Å
α = 90.00°, β = 90.00°, γ = 90.00°
Element x y z (fractional)
Sc: 0.1625 0.3375 0.0000
Sc: 0.3375 0.8375 0.0000
Sc: 0.6625 0.1625 0.0000
Sc: 0.8375 0.6625 0.0000
Pd: 0.1283 0.6283 0.5000
Pd: 0.3717 0.1283 0.5000
Pd: 0.6283 0.8717 0.5000
Pd: 0.8717 0.3717 0.5000
Br: 0.0000 0.0000 0.5000
Br: 0.5000 0.5000 0.5000



7.
Material: YTh2Al
Method: DFT, GGA-PBE
State: relaxed

The calculation puts the total moment at 0.00 μB/f.u. For the calculated formation energy, the calculation gives -130 meV/atom. For the polymorph energy (0 for the lowest one), the calculation gives 0.0 kJ/mol of formula units.

a = 4.7818 Å, b = 4.7818 Å, c = 4.9384 Å
α = 90.00°, β = 90.00°, γ = 90.00°
Element x y z (fractional)
Y: 0.0000 0.0000 0.0000
Th: 0.0000 0.5000 0.5000
Th: 0.5000 0.0000 0.5000
Al: 0.5000 0.5000 0.0000



8.
Material: TiCdI2O
Method: DFT, GGA-PBE
State: relaxed

The calculation puts the total moment at 2.00 μB/f.u. The uncorrected formation energy is 0.546 eV/f.u. For the polymorph energy (0 for the lowest one), the calculation gives 517.3 kJ/mol of formula units.

a = 5.9322 Å, b = 5.9322 Å, c = 4.0378 Å
α = 90.00°, β = 90.00°, γ = 90.00°
Element x y z (fractional)
Ti: 0.0000 0.0000 0.0000
Cd: 0.5000 0.5000 0.5000
I: 0.0000 0.5000 0.5000
I: 0.5000 0.0000 0.5000
O: 0.5000 0.5000 0.0000